A plane-wave DFT calculation with GGA-PBE was carried out for a geometry-optimized BaCa2I6 structure.

POSCAR file:
```
BaCa2I6
1.0
7.8386 0.0000 0.0000
0.0000 8.4070 0.3290
-3.9193 -0.3487 12.2311
I Ca Ba
12 4 2
direct
0.5094 0.9141 0.8670 I
0.6424 0.5859 0.1330 I
0.3135 0.1240 0.5571 I
0.3576 0.4141 0.8670 I
0.8482 0.5561 0.7919 I
0.1518 0.4439 0.2081 I
0.4906 0.0859 0.1330 I
0.6865 0.8760 0.4429 I
0.0564 0.9439 0.2081 I
0.7564 0.3760 0.4429 I
0.2436 0.6240 0.5571 I
0.9436 0.0561 0.7919 I
0.5940 0.8393 0.6598 Ca
0.9342 0.6607 0.3402 Ca
0.0658 0.3393 0.6598 Ca
0.4060 0.1607 0.3402 Ca
0.7715 0.2500 0.0000 Ba
0.2285 0.7500 0.0000 Ba
```

**Final energy**: -59.4 eV/cell
**Relative energy among the computed polymorphs**: 41.6 meV per atom
**Fermi-level density of states**: 0.000 states/eV per atom
**ρ**: 4029 kg/m3